No. 1
Density functional theory data (PBE) for a relaxed structure of Y2GaSnGe.

Summary:
calculated formation energy	-0.691	eV/atom
N(E_F)	0.404	states/eV per atom

Structure (POSCAR):
```
Y2GaSnGe
1.0
-1.557 -2.253 -3.253
5.723 0.079 -2.793
2.097 -7.366 4.097
Y Ga Sn Ge
4 2 2 2
Direct
0.750 0.753 0.533
0.750 0.753 0.967
0.250 0.247 0.467
0.250 0.247 0.033
0.250 0.551 0.750
0.750 0.449 0.250
0.250 0.731 0.250
0.750 0.269 0.750
0.250 0.946 0.750
0.750 0.054 0.250
```

***

No. 2
Density functional theory data (PBE) for a relaxed structure of Sr2GaGe6.

Summary:
calculated formation energy	-0.317	eV/atom
N(E_F)	0.189	states/eV per atom

Structure (POSCAR):
```
Sr2GaGe6
1.0
-4.257 1.888 -4.064
4.328 -1.338 -4.205
-3.935 -10.534 1.397
Sr Ga Ge
4 2 12
Direct
0.164 0.667 0.664
0.667 0.164 0.664
0.836 0.333 0.336
0.333 0.836 0.336
0.198 0.198 0.798
0.802 0.802 0.202
0.854 0.854 0.438
0.146 0.146 0.562
0.639 0.639 0.572
0.361 0.361 0.428
0.934 0.511 0.890
0.511 0.934 0.890
0.066 0.489 0.110
0.489 0.066 0.110
0.930 0.930 0.892
0.070 0.070 0.108
0.515 0.515 0.892
0.485 0.485 0.108
```

***

No. 3
Density functional theory data (PBE) for a relaxed structure of Sr3GaGe.

Summary:
calculated formation energy	-0.090	eV/atom
N(E_F)	1.273	states/eV per atom
polymorph energy (0 for the lowest one)	268	meV per atom

Structure (POSCAR):
```
Sr3GaGe
1.0
-3.389 -2.404 4.400
-4.396 -1.131 -4.003
2.412 -5.438 -1.113
Sr Ge Ga
3 1 1
Direct
0.000 0.500 0.000
0.000 0.000 0.500
0.500 0.000 0.000
0.000 0.000 0.000
0.500 0.500 0.500
```

***

No. 4
Density functional theory data (PBE) for a relaxed structure of SrGaGe3.

Summary:
calculated formation energy	-0.250	eV/atom
N(E_F)	0.334	states/eV per atom
polymorph energy (0 for the lowest one)	0	meV per atom

Structure (POSCAR):
```
SrGaGe3
1.0
4.481 -0.078 0.000
-2.343 6.443 0.000
0.000 0.000 8.626
Sr Ga Ge
2 2 6
Direct
0.002 0.001 0.750
0.998 0.999 0.250
0.704 0.407 0.750
0.296 0.593 0.250
0.641 0.192 0.502
0.359 0.808 0.498
0.641 0.192 0.998
0.359 0.808 0.002
0.307 0.606 0.750
0.693 0.394 0.250
```

***

No. 5
Density functional theory data (PBE) for a relaxed structure of SrGa3Ge.

Summary:
calculated formation energy	-0.372	eV/atom
N(E_F)	0.193	states/eV per atom
polymorph energy (0 for the lowest one)	0	meV per atom

Structure (POSCAR):
```
SrGa3Ge
1.0
4.364 -3.922 -1.711
2.431 -3.299 4.535
-5.670 1.288 -1.883
Sr Ga Ge
1 3 1
Direct
0.596 0.596 0.000
0.847 0.347 0.500
0.347 0.847 0.500
0.225 0.225 0.000
0.977 0.977 0.000
```

***

No. 6
Density functional theory data (PBE) for a relaxed structure of Sr5GaGe2.

Summary:
calculated formation energy	-0.466	eV/atom
N(E_F)	1.095	states/eV per atom

Structure (POSCAR):
```
Sr5GaGe2
1.0
7.459 0.000 -3.521
-1.662 7.271 -3.521
0.142 0.178 9.961
Sr Ga Ge
10 2 4
Direct
0.537 0.683 0.720
0.817 0.963 0.280
0.000 0.000 0.000
0.500 0.500 0.000
0.183 0.037 0.720
0.683 0.183 0.720
0.037 0.537 0.720
0.317 0.817 0.280
0.963 0.463 0.280
0.463 0.317 0.280
0.750 0.750 0.500
0.250 0.250 0.500
0.112 0.388 0.000
0.612 0.112 0.000
0.388 0.888 0.000
0.888 0.612 0.000
```

***

No. 7
Density functional theory data (PBE) for a relaxed structure of SrGaGe.

Summary:
calculated formation energy	-0.546	eV/atom
N(E_F)	0.323	states/eV per atom

Structure (POSCAR):
```
SrGaGe
1.0
-3.309 -2.680 -0.613
3.550 -1.386 1.997
-7.404 5.293 16.830
Sr Ge Ga
4 4 4
Direct
0.000 0.000 0.000
0.000 0.000 0.750
0.000 0.000 0.500
0.000 0.000 0.250
0.667 0.333 0.388
0.333 0.667 0.888
0.333 0.667 0.612
0.667 0.333 0.112
0.333 0.667 0.145
0.667 0.333 0.645
0.333 0.667 0.355
0.667 0.333 0.855
```

***

No. 8
Density functional theory data (PBE) for a relaxed structure of Sr2Ga5Ge.

Summary:
calculated formation energy	-0.427	eV/atom
N(E_F)	0.362	states/eV per atom

Structure (POSCAR):
```
Sr2Ga5Ge
1.0
4.602 0.000 0.000
-2.301 8.938 0.000
0.000 0.000 8.969
Sr Ga Ge
4 10 2
Direct
0.799 0.597 0.750
0.201 0.403 0.250
0.000 0.000 0.000
0.000 0.000 0.500
0.186 0.371 0.892
0.814 0.629 0.108
0.186 0.371 0.608
0.814 0.629 0.392
0.353 0.707 0.991
0.647 0.293 0.009
0.353 0.707 0.509
0.647 0.293 0.491
0.577 0.155 0.750
0.423 0.845 0.250
0.433 0.866 0.750
0.567 0.134 0.250
```

***

No. 9
Density functional theory data (PBE) for a relaxed structure of SrGaGe.

Summary:
calculated formation energy	-0.300	eV/atom
N(E_F)	0.297	states/eV per atom

Structure (POSCAR):
```
SrGaGe
1.0
3.614 0.000 0.000
0.000 3.614 0.000
-1.807 -1.807 5.656
Sr Ge Ga
1 1 1
Direct
0.616 0.616 0.232
0.918 0.918 0.836
0.316 0.316 0.631
```

***

No. 10
Density functional theory data (PBE) for a relaxed structure of SrGa3Ge.

Summary:
calculated formation energy	0.038	eV/atom
N(E_F)	0.545	states/eV per atom
polymorph energy (0 for the lowest one)	410	meV per atom

Structure (POSCAR):
```
SrGa3Ge
1.0
-4.556 -1.470 -1.853
1.852 -4.718 -0.811
-1.471 -1.388 4.718
Sr Ge Ga
1 1 3
Direct
0.500 0.500 0.500
0.000 0.000 0.000
0.000 0.500 0.000
0.000 0.000 0.500
0.500 0.000 0.000
```

***

No. 11
Density functional theory data (PBE) for a relaxed structure of SrGaGe3.

Summary:
calculated formation energy	1.124	eV/atom
N(E_F)	1.428	states/eV per atom
polymorph energy (0 for the lowest one)	1374	meV per atom

Structure (POSCAR):
```
SrGaGe3
1.0
-1.653 3.090 4.446
-1.207 -4.742 2.847
5.278 -0.117 2.043
Sr Ge Ga
1 3 1
Direct
0.000 0.000 0.000
0.000 0.500 0.000
0.000 0.000 0.500
0.500 0.000 0.000
0.500 0.500 0.500
```

***

No. 12
Density functional theory data (PBE) for a relaxed structure of SrGa6Ge2.

Summary:
calculated formation energy	-0.122	eV/atom
N(E_F)	0.389	states/eV per atom

Structure (POSCAR):
```
SrGa6Ge2
1.0
-2.754 1.396 -3.040
-2.241 -3.693 0.334
-5.809 4.173 7.180
Sr Ga Ge
1 6 2
Direct
0.000 0.000 0.000
0.000 0.500 0.294
0.500 0.000 0.294
0.000 0.500 0.706
0.500 0.000 0.706
0.500 0.500 0.500
0.000 0.000 0.500
0.500 0.500 0.127
0.500 0.500 0.873
```

***

Which value of calculated formation energy does entry 3 give?
-0.090 eV/atom